Record 1
DFT (GGA-PBE) results for a geometry-optimized Ac3MgGe6Pt2 structure.

Cell: 6.3646 6.3646 8.4075 Å, 90.00 90.00 120.00°
Space group P-3m1 (No. 164)
One atom of each set of equivalent atoms:
Ac 0.0000 0.0000 0.0000
Ac 0.3333 0.6667 0.6621
Mg 0.0000 0.0000 0.5000
Ge 0.1981 0.3962 0.2944
Pt 0.3333 0.6667 0.0410

Summary:
Crystal system: trigonal
E_form (eV per formula unit): -5.30

---

Record 2
DFT (GGA-PBE) results for a geometry-optimized DyCdAs structure.

Cell: 4.8426 4.8426 25.6827 Å, 90.00 90.00 120.00°
Space group R-3m (No. 166, hexagonal axes)
One atom of each set of equivalent atoms:
Dy 0.0000 0.0000 0.1055
Cd 0.0000 0.0000 0.3226
As 0.0000 0.0000 0.2158

Summary:
Crystal system: trigonal
E_form (eV per formula unit): -1.87

---

Record 3
DFT (GGA-PBE) results for a geometry-optimized Sr3PrTl4 structure.

Cell: 4.031 4.031 16.419 Å, 90.00 90.00 90.00°
Space group P4/mmm (No. 123)
One atom of each set of equivalent atoms:
Sr 0.000 0.000 0.000
Sr 0.000 0.000 0.254
Pr 0.000 0.000 0.500
Tl 0.500 0.500 0.126
Tl 0.500 0.500 0.384

Summary:
Crystal system: tetragonal
E_form (eV per formula unit): -3.30

---

Repeat the second record exactly.
DFT (GGA-PBE) results for a geometry-optimized DyCdAs structure.

Cell: 4.8426 4.8426 25.6827 Å, 90.00 90.00 120.00°
Space group R-3m (No. 166, hexagonal axes)
One atom of each set of equivalent atoms:
Dy 0.0000 0.0000 0.1055
Cd 0.0000 0.0000 0.3226
As 0.0000 0.0000 0.2158

Summary:
Crystal system: trigonal
E_form (eV per formula unit): -1.87

---

Which of these has the highest E_form? DyCdAs

---

Copy entry 3 word for word.
DFT (GGA-PBE) results for a geometry-optimized Sr3PrTl4 structure.

Cell: 4.031 4.031 16.419 Å, 90.00 90.00 90.00°
Space group P4/mmm (No. 123)
One atom of each set of equivalent atoms:
Sr 0.000 0.000 0.000
Sr 0.000 0.000 0.254
Pr 0.000 0.000 0.500
Tl 0.500 0.500 0.126
Tl 0.500 0.500 0.384

Summary:
Crystal system: tetragonal
E_form (eV per formula unit): -3.30

---

What did the third record say?
DFT (GGA-PBE) results for a geometry-optimized Sr3PrTl4 structure.

Cell: 4.031 4.031 16.419 Å, 90.00 90.00 90.00°
Space group P4/mmm (No. 123)
One atom of each set of equivalent atoms:
Sr 0.000 0.000 0.000
Sr 0.000 0.000 0.254
Pr 0.000 0.000 0.500
Tl 0.500 0.500 0.126
Tl 0.500 0.500 0.384

Summary:
Crystal system: tetragonal
E_form (eV per formula unit): -3.30